RbAuI2N | meta-GGA SCAN | single point on PBEsol structure

Computed properties:
Fermi-level density of states, states/eV/f.u.: 2.889
E_form (uncorrected), eV/atom: 1.15
SG: P4/mmm
Electronic total energy, eV per atom: -33.3873

a = 5.2308 Å, b = 6.5530 Å, c = 6.5530 Å
α = 90.00°, β = 90.00°, γ = 90.00°
Each line ends with the local moment (μB).
Positions (direct):
I: 0.0000 0.0000 0.5000  0.04
I: 0.0000 0.5000 0.0000  0.04
Au: 0.5000 0.5000 0.5000  0.00
Rb: 0.0000 0.0000 0.0000  0.05
N: 0.5000 0.0000 0.0000  1.93

CdFeCu2 | meta-GGA SCAN | single point on PBEsol structure

Computed properties:
Fermi-level density of states, states/eV/f.u.: 1.881
SG: Fm-3m
Electronic total energy, eV per atom: -19.5320

a = 4.2345 Å, b = 4.2345 Å, c = 4.2345 Å
α = 60.00°, β = 60.00°, γ = 60.00°
Each line ends with the local moment (μB).
Positions (direct):
Cd: 0.0000 0.0000 0.0000  -0.03
Cu: 0.2500 0.2500 0.2500  0.07
Cu: 0.7500 0.7500 0.7500  0.07
Fe: 0.5000 0.5000 0.5000  3.14

Cr2CoNi | meta-GGA SCAN | single point on PBEsol structure

Computed properties:
Fermi-level density of states, states/eV/f.u.: 3.397
SG: I4/mmm
Electronic total energy, eV per atom: -17.4498

a = 3.4145 Å, b = 3.4145 Å, c = 4.3406 Å
α = 113.16°, β = 113.16°, γ = 90.00°
Each line ends with the local moment (μB).
Positions (direct):
Ni: 0.0000 0.0000 0.0000  -0.07
Co: 0.5000 0.5000 0.0000  0.97
Cr: 0.7500 0.2500 0.5000  -0.12
Cr: 0.2500 0.7500 0.5000  -0.12

Dy2ZnOs | meta-GGA SCAN | single point on PBEsol structure

Computed properties:
Fermi-level density of states, states/eV/f.u.: 2.009
SG: Fm-3m
Electronic total energy, eV per atom: -45.6691

a = 4.8242 Å, b = 4.8242 Å, c = 4.8242 Å
α = 60.00°, β = 60.00°, γ = 60.00°
Positions (direct):
Zn: 0.0000 0.0000 0.0000
Os: 0.5000 0.5000 0.5000
Dy: 0.7500 0.7500 0.7500
Dy: 0.2500 0.2500 0.2500

TaAu2Br | meta-GGA SCAN | single point on PBEsol structure

Computed properties:
Fermi-level density of states, states/eV/f.u.: 2.450
E_form (uncorrected), eV/atom: 0.50
SG: F-43m
Electronic total energy, eV per atom: -55.5906

a = 4.6359 Å, b = 4.6359 Å, c = 4.6359 Å
α = 60.00°, β = 60.00°, γ = 60.00°
Positions (direct):
Au: 0.0000 0.0000 0.0000
Au: 0.2500 0.2500 0.2500
Br: 0.5000 0.5000 0.5000
Ta: 0.7500 0.7500 0.7500

Eu2ZnSb2 | meta-GGA SCAN | single point on PBEsol structure

Computed properties:
Fermi-level density of states, states/eV/f.u.: 10.402
E_form (uncorrected), eV/atom: -0.83
SG: P-6m2
Electronic total energy, eV per atom: -39.9179

a = 4.5506 Å, b = 4.5506 Å, c = 7.8584 Å
α = 90.00°, β = 90.00°, γ = 120.00°
Each line ends with the local moment (μB).
Positions (direct):
Eu: 0.3333 0.6667 0.7715  6.84
Eu: 0.3333 0.6667 0.2285  6.84
Sb: 0.0000 0.0000 0.0000  -0.19
Sb: 0.6667 0.3333 0.5000  -0.04
Zn: 0.0000 0.0000 0.5000  0.07

Tc3SnW | meta-GGA SCAN | single point on PBEsol structure

Computed properties:
Fermi-level density of states, states/eV/f.u.: 3.887
SG: Pm-3m
Electronic total energy, eV per atom: -40.5680

a = 4.6631 Å, b = 4.6631 Å, c = 4.6631 Å
α = 90.00°, β = 90.00°, γ = 90.00°
Each line ends with the local moment (μB).
Positions (direct):
Sn: 0.5000 0.5000 0.5000  -0.07
W: 0.0000 0.0000 0.0000  -0.22
Tc: 0.0000 0.5000 0.0000  0.93
Tc: 0.0000 0.0000 0.5000  0.93
Tc: 0.5000 0.0000 0.0000  0.93

CsNb3Tl | meta-GGA SCAN | single point on PBEsol structure

Computed properties:
Fermi-level density of states, states/eV/f.u.: 6.486
SG: Pm-3m
Electronic total energy, eV per atom: -39.8899

a = 5.3021 Å, b = 5.3021 Å, c = 5.3021 Å
α = 90.00°, β = 90.00°, γ = 90.00°
Each line ends with the local moment (μB).
Positions (direct):
Cs: 0.5000 0.5000 0.5000  0.19
Tl: 0.0000 0.0000 0.0000  0.09
Nb: 0.0000 0.5000 0.0000  2.31
Nb: 0.0000 0.0000 0.5000  2.31
Nb: 0.5000 0.0000 0.0000  2.31

ZnBrCl | meta-GGA SCAN | single point on PBEsol structure

Computed properties:
Fermi-level density of states, states/eV/f.u.: 0.000
E_form (uncorrected), eV/atom: -1.05
SG: P3m1
Electronic total energy, eV per atom: -14.7002

a = 3.6247 Å, b = 3.6247 Å, c = 6.2131 Å
α = 90.00°, β = 90.00°, γ = 120.00°
Positions (direct):
Zn: 0.6667 0.3333 0.3424
Br: 0.0000 0.0000 0.1013
Cl: 0.3333 0.6667 0.5563

Nd2TeO6 | meta-GGA SCAN | single point on PBEsol structure

Computed properties:
Fermi-level density of states, states/eV/f.u.: 0.000
E_form (uncorrected), eV/atom: -2.75
SG: P2_12_12_1
Electronic total energy, eV per atom: -20.7255

a = 5.4265 Å, b = 9.3054 Å, c = 10.1740 Å
α = 90.00°, β = 90.00°, γ = 90.00°
Positions (direct):
Nd: 0.0265 0.1037 0.4602
Nd: 0.5265 0.3963 0.5398
Nd: 0.9735 0.6037 0.0398
Nd: 0.4735 0.8963 0.9602
Nd: 0.0343 0.2175 0.8636
Nd: 0.5343 0.2825 0.1364
Nd: 0.9657 0.7175 0.6364
Nd: 0.4657 0.7825 0.3636
Te: 0.5423 0.0047 0.6440
Te: 0.0423 0.4953 0.3560
Te: 0.4577 0.5047 0.8560
Te: 0.9577 0.9953 0.1440
O: 0.2505 0.4125 0.9912
O: 0.7505 0.0875 0.0088
O: 0.7495 0.9125 0.5088
O: 0.2495 0.5875 0.4912
O: 0.2227 0.1112 0.0647
O: 0.7227 0.3888 0.9353
O: 0.7773 0.6112 0.4353
O: 0.2773 0.8888 0.5647
O: 0.3105 0.3609 0.3235
O: 0.8105 0.1391 0.6765
O: 0.6895 0.8609 0.1765
O: 0.1895 0.6391 0.8235
O: 0.1674 0.9462 0.2883
O: 0.6674 0.5538 0.7117
O: 0.8326 0.4462 0.2117
O: 0.3326 0.0538 0.7883
O: 0.1799 0.6378 0.2412
O: 0.6799 0.8622 0.7588
O: 0.8201 0.1378 0.2588
O: 0.3201 0.3622 0.7412
O: 0.0684 0.8498 0.0217
O: 0.5684 0.6502 0.9783
O: 0.9316 0.3498 0.4783
O: 0.4316 0.1502 0.5217

KScSe3 | meta-GGA SCAN | single point on PBEsol structure

Computed properties:
Fermi-level density of states, states/eV/f.u.: 6.153
E_form (uncorrected), eV/atom: -1.15
SG: Pm-3m
Electronic total energy, eV per atom: -17.7072

a = 5.1733 Å, b = 5.1733 Å, c = 5.1733 Å
α = 90.00°, β = 90.00°, γ = 90.00°
Positions (direct):
Sc: 0.0000 0.0000 0.0000
K: 0.5000 0.5000 0.5000
Se: 0.0000 0.5000 0.0000
Se: 0.0000 0.0000 0.5000
Se: 0.5000 0.0000 0.0000

Hf6Zn16Cu7 | meta-GGA SCAN | single point on PBEsol structure

Computed properties:
Fermi-level density of states, states/eV/f.u.: 13.806
SG: Fm-3m
Electronic total energy, eV per atom: -24.3461

a = 8.3866 Å, b = 8.3866 Å, c = 8.3866 Å
α = 60.00°, β = 60.00°, γ = 60.00°
Positions (direct):
Hf: 0.3072 0.3072 0.6928
Hf: 0.6928 0.3072 0.6928
Hf: 0.6928 0.3072 0.3072
Hf: 0.6928 0.6928 0.3072
Hf: 0.3072 0.6928 0.3072
Hf: 0.3072 0.6928 0.6928
Zn: 0.8802 0.3595 0.8802
Zn: 0.8802 0.8802 0.3595
Zn: 0.8802 0.8802 0.8802
Zn: 0.3595 0.8802 0.8802
Zn: 0.1198 0.6405 0.1198
Zn: 0.1198 0.1198 0.6405
Zn: 0.1198 0.1198 0.1198
Zn: 0.6405 0.1198 0.1198
Zn: 0.6667 0.0000 0.6667
Zn: 0.6667 0.6667 0.0000
Zn: 0.6667 0.6667 0.6667
Zn: 0.0000 0.6667 0.6667
Zn: 0.3333 0.0000 0.3333
Zn: 0.3333 0.3333 0.0000
Zn: 0.3333 0.3333 0.3333
Zn: 0.0000 0.3333 0.3333
Cu: 0.0000 0.0000 0.0000
Cu: 0.5000 0.5000 0.0000
Cu: 0.0000 0.5000 0.0000
Cu: 0.0000 0.5000 0.5000
Cu: 0.0000 0.0000 0.5000
Cu: 0.5000 0.0000 0.5000
Cu: 0.5000 0.0000 0.0000